Entry 1:
## RbLi3Zn4I12 (PBE)

Data for RbLi3Zn4I12 after structural relaxation.

The structure in POSCAR format:
```
RbLi3Zn4I12
1.0
7.890 4.556 3.875
-7.890 4.556 3.875
0.000 -9.111 3.875
Rb Li Zn I
1 3 4 12
direct
0.000 0.000 0.000 Rb
0.000 0.552 0.448 Li
0.448 0.000 0.552 Li
0.552 0.448 0.000 Li
0.064 0.500 0.936 Zn
0.500 0.500 0.500 Zn
0.500 0.936 0.064 Zn
0.936 0.064 0.500 Zn
0.048 0.655 0.769 I
0.098 0.902 0.500 I
0.231 0.345 0.952 I
0.338 0.662 0.500 I
0.345 0.952 0.231 I
0.500 0.098 0.902 I
0.500 0.338 0.662 I
0.655 0.769 0.048 I
0.662 0.500 0.338 I
0.769 0.048 0.655 I
0.902 0.500 0.098 I
0.952 0.231 0.345 I
```

Summary:
energy relative to the elements, uncorrected: -15.80 eV per formula unit

---

Entry 2:
## ZnPRu (PBE)

Data for ZnPRu after structural relaxation.

The structure in POSCAR format:
```
ZnPRu
1.0
5.727 0.000 0.000
0.000 5.727 0.000
0.000 0.000 5.727
Zn P Ru
4 4 4
direct
0.000 0.000 0.000 Zn
0.000 0.500 0.500 Zn
0.500 0.000 0.500 Zn
0.500 0.500 0.000 Zn
0.000 0.000 0.500 P
0.000 0.500 0.000 P
0.500 0.000 0.000 P
0.500 0.500 0.500 P
0.250 0.250 0.750 Ru
0.250 0.750 0.250 Ru
0.750 0.250 0.250 Ru
0.750 0.750 0.750 Ru
```

Summary:
energy relative to the elements: 1 kJ per mole of atoms

---

Entry 3:
## Ba2MgIn12Ag3 (PBE)

Data for Ba2MgIn12Ag3 after structural relaxation.

The structure in POSCAR format:
```
Ba2MgIn12Ag3
1.0
3.324 1.919 13.337
-3.324 1.919 13.337
0.000 -3.838 13.337
Ba Mg In Ag
2 1 12 3
direct
0.141 0.141 0.141 Ba
0.859 0.859 0.859 Ba
0.500 0.500 0.500 Mg
0.104 0.104 0.642 In
0.104 0.642 0.104 In
0.106 0.610 0.610 In
0.358 0.896 0.896 In
0.390 0.390 0.894 In
0.390 0.894 0.390 In
0.610 0.106 0.610 In
0.610 0.610 0.106 In
0.642 0.104 0.104 In
0.894 0.390 0.390 In
0.896 0.358 0.896 In
0.896 0.896 0.358 In
0.000 0.500 0.500 Ag
0.500 0.000 0.500 Ag
0.500 0.500 0.000 Ag
```

Summary:
energy relative to the elements: -9 kJ per mole of atoms

---

Entry 4:
## GaAg2Sn2 (PBE)

Data for GaAg2Sn2 after structural relaxation.

The structure in POSCAR format:
```
GaAg2Sn2
1.0
3.924 0.000 0.000
0.000 3.924 0.000
0.000 0.000 15.217
Ga Ag Sn
2 4 4
direct
0.000 0.000 0.000 Ga
0.500 0.500 0.500 Ga
0.000 0.500 0.250 Ag
0.000 0.500 0.750 Ag
0.500 0.000 0.250 Ag
0.500 0.000 0.750 Ag
0.000 0.000 0.397 Sn
0.000 0.000 0.603 Sn
0.500 0.500 0.103 Sn
0.500 0.500 0.897 Sn
```

Summary:
energy relative to the elements: 14 kJ per mole of atoms

---

Entry 5:
## Li3RhN2 (PBE)

Data for Li3RhN2 after structural relaxation.

The structure in POSCAR format:
```
Li3RhN2
1.0
6.565 0.000 0.000
0.000 7.557 0.000
-4.071 0.000 6.986
Li Rh N
12 4 8
direct
0.011 0.160 0.188 Li
0.011 0.340 0.688 Li
0.204 0.526 0.038 Li
0.204 0.974 0.538 Li
0.349 0.169 0.084 Li
0.349 0.331 0.584 Li
0.651 0.669 0.416 Li
0.651 0.831 0.916 Li
0.796 0.026 0.462 Li
0.796 0.474 0.962 Li
0.989 0.660 0.312 Li
0.989 0.840 0.812 Li
0.222 0.653 0.701 Rh
0.222 0.847 0.201 Rh
0.778 0.153 0.799 Rh
0.778 0.347 0.299 Rh
0.033 0.209 0.464 N
0.033 0.291 0.964 N
0.447 0.530 0.919 N
0.447 0.970 0.419 N
0.553 0.030 0.581 N
0.553 0.470 0.081 N
0.967 0.709 0.036 N
0.967 0.791 0.536 N
```

Summary:
energy relative to the elements, uncorrected: -1.07 eV per formula unit

---

Entry 6:
## Ta3Nb2Mo (PBE)

Data for Ta3Nb2Mo after structural relaxation.

The structure in POSCAR format:
```
Ta3Nb2Mo
1.0
5.699 0.000 0.000
0.000 4.635 0.000
-0.053 0.000 8.093
Ta Nb Mo
6 4 2
direct
0.000 0.250 0.238 Ta
0.000 0.750 0.762 Ta
0.327 0.250 0.922 Ta
0.498 0.750 0.745 Ta
0.502 0.250 0.255 Ta
0.673 0.750 0.078 Ta
0.174 0.250 0.580 Nb
0.325 0.750 0.410 Nb
0.675 0.250 0.590 Nb
0.826 0.750 0.420 Nb
0.171 0.750 0.084 Mo
0.829 0.250 0.916 Mo
```

Summary:
energy relative to the elements: -7 kJ per mole of atoms

---

| no. | E_tot (eV for the cell shown) | density of states at the Fermi level (states/eV/f.u.) | magnetic moment (μB per cell) |
| --- | --- | --- | --- |
| 1 | -46.2 | 0.0 | 0.00 |
| 2 | -63.7 | 1.6 | 0.00 |
| 3 | -48.5 | 6.4 | 0.00 |
| 4 | -32.0 | 2.1 | 0.00 |
| 5 | -123.3 | 2.2 | 3.33 |
| 6 | -133.9 | 7.5 | 0.00 |